The following is a DFT calculation (PBE+U) of an optimized crystal structure of NiO.

The structure in POSCAR format:
```
NiO
1.0
5.596 0.000 0.000
0.000 5.596 0.000
0.000 0.000 5.596
Ni O
6 6
Direct
0.000 0.250 0.500
0.000 0.750 0.500
0.250 0.500 0.000
0.500 0.000 0.250
0.500 0.000 0.750
0.750 0.500 0.000
0.000 0.500 0.250
0.000 0.500 0.750
0.250 0.000 0.500
0.500 0.250 0.000
0.500 0.750 0.000
0.750 0.000 0.500
```

Calculated values
final energy	-4.5335	eV/atom
calculated volume	175.2	Å³ per cell
total moment	2.00	μB/f.u.